No. 1
Entry from Alexandria: a geometry-optimized Tm2Ge2Ir3 structure (PBE-GGA).

Results
The calculation puts the size of the total moment at 0.00 μB/atom. The value obtained for the density of states at the Fermi level is 0.71 states/eV/atom. The calculation puts the calculated density at 13.34 g/cm3. The calculation puts the energy relative to the elements at -0.42 eV per atom.

POSCAR file:
```
Tm2Ge2Ir3
1.0
-0.191 4.372 -0.114
-2.269 -0.037 2.364
6.718 -1.701 6.421
Tm Ir Ge
2 3 2
Cartesian
4.383 0.377 6.484
-0.125 2.257 2.187
2.645 2.392 2.577
3.882 0.279 3.731
0.000 0.000 0.000
1.913 0.148 1.838
4.614 2.523 4.469
```



No. 2
Entry from Alexandria: a geometry-optimized Tm3Ge4Ir4 structure (PBE-GGA).

Results
The calculation puts the size of the total moment at 0.00 μB/atom. The value obtained for the density of states at the Fermi level is 0.66 states/eV/atom. The calculation puts the calculated density at 12.47 g/cm3. The calculation puts the energy relative to the elements at -0.79 eV per atom.

POSCAR file:
```
Tm3Ge4Ir4
1.0
-3.916 -0.291 0.503
0.563 -3.410 2.426
2.427 9.263 8.544
Ir Ge Tm
4 4 3
Cartesian
-1.808 1.267 2.193
0.377 3.724 5.030
0.881 4.296 9.280
-1.304 1.838 6.443
0.741 2.825 7.357
-1.596 -1.128 2.447
-1.668 2.737 4.115
0.669 6.691 9.026
0.501 0.472 4.108
-1.428 5.091 7.365
-3.353 -3.701 2.929
```



No. 3
Entry from Alexandria: a geometry-optimized TmGeIr structure (PBE-GGA).

Results
The calculation puts the size of the total moment at 0.00 μB/atom. The value obtained for the density of states at the Fermi level is 0.22 states/eV/atom. The calculation puts the calculated density at 12.45 g/cm3. The calculation puts the energy relative to the elements at -0.66 eV per atom.

POSCAR file:
```
TmGeIr
1.0
-1.206 -5.588 0.883
6.855 -1.456 0.146
0.066 0.877 5.639
Ge Tm Ir
4 4 4
Cartesian
4.527 -1.659 5.156
4.630 -5.049 2.793
1.188 -4.508 1.513
1.085 -1.119 3.875
0.205 -3.871 4.203
3.649 -4.378 5.699
2.066 -1.790 0.969
5.510 -2.296 2.466
0.000 0.000 0.000
3.461 -0.290 2.893
2.858 -3.084 3.334
-0.603 -2.794 0.441
```